The following is a DFT calculation (PBE-GGA) of Cr2Mo2Rh after structural relaxation.

Computed properties:
VASP energy   -9.383 eV/atom
Formation enthalpy at 0 K   1.34 eV per formula unit
Size of the total moment   0.000 μB per cell

Cell: 6.895 6.895 2.989 Å, 90.00 90.00 90.00°
Fractional coordinates of all 10 atoms:
Cr 0.606 0.106 0.000
Cr 0.106 0.394 0.000
Cr 0.394 0.894 0.000
Cr 0.894 0.606 0.000
Mo 0.802 0.302 0.500
Mo 0.198 0.698 0.500
Mo 0.302 0.198 0.500
Mo 0.698 0.802 0.500
Rh 0.500 0.500 0.000
Rh 0.000 0.000 0.000